The following is a DFT calculation (GGA+U) of a relaxed structure of ZrNiIrO6.

Lattice parameters (Å, degrees): 5.2373 5.2373 8.8619 90.00 90.00 120.00
Space group P-31c (No. 163)
Inequivalent atoms, fractional coordinates:
Zr1 0.3333 0.6667 0.2500 [2 per cell]
Ni1 0.0000 0.0000 0.0000 [2 per cell]
Ir1 0.3333 0.6667 0.7500 [2 per cell]
O1 0.0215 0.3533 0.6272 [12 per cell]

Its uncorrected energy is -126.0 eV/cell. The density comes out at 6912 kg/m³. As for the total magnetic moment: 1.1 μB per cell. For the density of states at the Fermi level, the calculation gives 0.4237 states/eV/atom.